No. 1
Here is a geometry-optimized Mg6CrSi structure from Alexandria. Energies are from PBE.

Values from the calculation:
VASP energy ... -23.53 eV/cell
Formation energy from raw total energies ... 13 kJ per mole of atoms
Magnetic moment ... 3.56 μB/cell
DOS at the Fermi energy ... 0.39 states/eV/atom

Structure (CIF):
```
data_Mg6CrSi
_chemical_formula_sum 'Mg6 Cr1 Si1'
_cell_length_a 6.1497
_cell_length_b 6.1497
_cell_length_c 4.8189
_cell_angle_alpha 90.00
_cell_angle_beta 90.00
_cell_angle_gamma 119.19
_symmetry_space_group_name_H-M 'P 1'
_symmetry_Int_Tables_number 1
_symmetry_space_group_name_Hall 'P 1'
loop_
_atom_site_label
_atom_site_fract_x
_atom_site_fract_y
_atom_site_fract_z
_atom_site_occupancy
Mg1 0.8347 0.1653 0.5000 1
Si1 0.1792 0.8208 0.0000 1
Mg2 0.6556 0.8313 0.0000 1
Mg3 0.1687 0.3444 0.0000 1
Mg4 0.8410 0.6697 0.5000 1
Mg5 0.3303 0.1590 0.5000 1
Cr1 0.3232 0.6768 0.5000 1
Mg6 0.6673 0.3327 0.0000 1
```

No. 2
Here is a geometry-optimized TaCr2B2 structure from Alexandria. Energies are from PBE.

Values from the calculation:
VASP energy ... -44.28 eV/cell
Energy of formation from the pure elements ... 0.04 eV/atom
Magnetic moment ... 0.00 μB/cell
DOS at the Fermi energy ... 0.99 states/eV/atom

Structure (CIF):
```
data_TaCr2B2
_chemical_formula_sum 'Ta1 Cr2 B2'
_cell_length_a 3.8571
_cell_length_b 3.8571
_cell_length_c 4.5946
_cell_angle_alpha 65.18
_cell_angle_beta 65.18
_cell_angle_gamma 90.00
_symmetry_space_group_name_H-M 'P 1'
_symmetry_Int_Tables_number 1
_symmetry_space_group_name_Hall 'P 1'
loop_
_atom_site_label
_atom_site_fract_x
_atom_site_fract_y
_atom_site_fract_z
_atom_site_occupancy
B1 0.2500 0.7500 0.5000 1
Cr1 0.6597 0.6597 0.6805 1
Ta1 0.0000 0.0000 0.0000 1
Cr2 0.3403 0.3403 0.3195 1
B2 0.7500 0.2500 0.5000 1
```

No. 3
Here is a geometry-optimized La3Th4 structure from Alexandria. Energies are from PBE.

Values from the calculation:
VASP energy ... -44.27 eV/cell
Energy of formation from the pure elements ... 0.03 eV/atom
Magnetic moment ... 0.00 μB/cell
DOS at the Fermi energy ... 1.74 states/eV/atom

Structure (CIF):
```
data_La3Th4
_chemical_formula_sum 'La3 Th4'
_cell_length_a 3.6036
_cell_length_b 3.6036
_cell_length_c 18.3993
_cell_angle_alpha 95.62
_cell_angle_beta 95.62
_cell_angle_gamma 90.00
_symmetry_space_group_name_H-M 'P 1'
_symmetry_Int_Tables_number 1
_symmetry_space_group_name_Hall 'P 1'
loop_
_atom_site_label
_atom_site_fract_x
_atom_site_fract_y
_atom_site_fract_z
_atom_site_occupancy
Th1 0.8608 0.8608 0.7215 1
Th2 0.5729 0.5729 0.1457 1
Th3 0.4271 0.4271 0.8543 1
La1 0.0000 0.0000 0.0000 1
La2 0.7089 0.7089 0.4178 1
Th4 0.1392 0.1392 0.2785 1
La3 0.2911 0.2911 0.5822 1
```

No. 4
Here is a geometry-optimized Pr10Sm6Th structure from Alexandria. Energies are from PBE.

Values from the calculation:
VASP energy ... -81.08 eV/cell
Energy of formation from the pure elements ... 0.14 eV/atom
Magnetic moment ... 0.00 μB/cell
DOS at the Fermi energy ... 1.56 states/eV/atom

Structure (CIF):
```
data_Pr10Sm6Th
_chemical_formula_sum 'Pr10 Sm6 Th1'
_cell_length_a 7.0864
_cell_length_b 9.9480
_cell_length_c 9.9480
_cell_angle_alpha 120.00
_cell_angle_beta 90.00
_cell_angle_gamma 90.00
_symmetry_space_group_name_H-M 'P 1'
_symmetry_Int_Tables_number 1
_symmetry_space_group_name_Hall 'P 1'
loop_
_atom_site_label
_atom_site_fract_x
_atom_site_fract_y
_atom_site_fract_z
_atom_site_occupancy
Pr1 0.5000 0.3333 0.6667 1
Th1 0.5000 0.0000 0.0000 1
Pr2 0.5000 0.6667 0.3333 1
Sm1 0.3066 0.0000 0.3694 1
Pr3 0.0000 0.6667 0.3333 1
Pr4 0.1842 0.0000 0.7268 1
Sm2 0.6934 0.0000 0.6306 1
Pr5 0.1842 0.7268 0.0000 1
Sm3 0.3066 0.3694 0.0000 1
Pr6 0.8158 0.0000 0.2732 1
Pr7 0.1842 0.2732 0.2732 1
Sm4 0.3066 0.6306 0.6306 1
Sm5 0.6934 0.6306 0.0000 1
Pr8 0.8158 0.7268 0.7268 1
Pr9 0.8158 0.2732 0.0000 1
Sm6 0.6934 0.3694 0.3694 1
Pr10 0.0000 0.3333 0.6667 1
```

No. 5
Here is a geometry-optimized KRhAu structure from Alexandria. Energies are from PBE.

Values from the calculation:
VASP energy ... -10.95 eV/cell
Energy of formation from the pure elements ... 0.26 eV/atom
Magnetic moment ... 0.00 μB/cell
DOS at the Fermi energy ... 0.77 states/eV/atom

Structure (CIF):
```
data_KRhAu
_chemical_formula_sum 'K1 Rh1 Au1'
_cell_length_a 6.3101
_cell_length_b 6.3101
_cell_length_c 6.3101
_cell_angle_alpha 146.87
_cell_angle_beta 146.87
_cell_angle_gamma 47.56
_symmetry_space_group_name_H-M 'P 1'
_symmetry_Int_Tables_number 1
_symmetry_space_group_name_Hall 'P 1'
loop_
_atom_site_label
_atom_site_fract_x
_atom_site_fract_y
_atom_site_fract_z
_atom_site_occupancy
Rh1 0.3877 0.3877 0.0000 1
K1 0.6648 0.6648 0.0000 1
Au1 0.9474 0.9474 0.0000 1
```

No. 6
Here is a geometry-optimized Tb3ErSn3 structure from Alexandria. Energies are from PBE.

Values from the calculation:
VASP energy ... -66.51 eV/cell
Energy of formation from the pure elements ... -0.40 eV/atom
Magnetic moment ... 0.00 μB/cell
DOS at the Fermi energy ... 0.22 states/eV/atom

Structure (CIF):
```
data_Tb3ErSn3
_chemical_formula_sum 'Tb6 Er2 Sn6'
_cell_length_a 6.0921
_cell_length_b 9.3849
_cell_length_c 9.3849
_cell_angle_alpha 120.00
_cell_angle_beta 90.00
_cell_angle_gamma 90.00
_symmetry_space_group_name_H-M 'P 1'
_symmetry_Int_Tables_number 1
_symmetry_space_group_name_Hall 'P 1'
loop_
_atom_site_label
_atom_site_fract_x
_atom_site_fract_y
_atom_site_fract_z
_atom_site_occupancy
Sn1 0.2500 0.0009 0.3516 1
Tb1 0.7500 0.3204 0.0190 1
Tb2 0.2500 0.3014 0.3204 1
Tb3 0.7500 0.9810 0.3014 1
Sn2 0.7500 0.3516 0.3507 1
Tb4 0.2500 0.6796 0.9810 1
Er1 0.7500 0.3333 0.6667 1
Tb5 0.2500 0.0190 0.6986 1
Sn3 0.7500 0.9991 0.6484 1
Er2 0.2500 0.6667 0.3333 1
Tb6 0.7500 0.6986 0.6796 1
Sn4 0.2500 0.3507 0.9991 1
Sn5 0.7500 0.6493 0.0009 1
Sn6 0.2500 0.6484 0.6493 1
```

No. 7
Here is a geometry-optimized ZrNiP2 structure from Alexandria. Energies are from PBE.

Values from the calculation:
VASP energy ... -26.63 eV/cell
Energy of formation from the pure elements ... -0.37 eV/atom
Magnetic moment ... 0.00 μB/cell
DOS at the Fermi energy ... 1.12 states/eV/atom

Structure (CIF):
```
data_ZrNiP2
_chemical_formula_sum 'Zr1 Ni1 P2'
_cell_length_a 3.2939
_cell_length_b 3.2939
_cell_length_c 5.3988
_cell_angle_alpha 90.00
_cell_angle_beta 90.00
_cell_angle_gamma 90.00
_symmetry_space_group_name_H-M 'P 1'
_symmetry_Int_Tables_number 1
_symmetry_space_group_name_Hall 'P 1'
loop_
_atom_site_label
_atom_site_fract_x
_atom_site_fract_y
_atom_site_fract_z
_atom_site_occupancy
P1 0.0000 0.0000 0.7106 1
Zr1 0.5000 0.5000 0.0000 1
P2 0.0000 0.0000 0.2894 1
Ni1 0.5000 0.5000 0.5000 1
```

No. 8
Here is a geometry-optimized Ho2MgTc structure from Alexandria. Energies are from PBE.

Values from the calculation:
VASP energy ... -21.48 eV/cell
Energy of formation from the pure elements ... -0.09 eV/atom
Magnetic moment ... 0.00 μB/cell
DOS at the Fermi energy ... 1.20 states/eV/atom

Structure (CIF):
```
data_Ho2MgTc
_chemical_formula_sum 'Ho2 Mg1 Tc1'
_cell_length_a 3.4610
_cell_length_b 3.4610
_cell_length_c 8.0438
_cell_angle_alpha 90.00
_cell_angle_beta 90.00
_cell_angle_gamma 90.00
_symmetry_space_group_name_H-M 'P 1'
_symmetry_Int_Tables_number 1
_symmetry_space_group_name_Hall 'P 1'
loop_
_atom_site_label
_atom_site_fract_x
_atom_site_fract_y
_atom_site_fract_z
_atom_site_occupancy
Tc1 0.5000 0.5000 0.0000 1
Ho1 0.0000 0.0000 0.7985 1
Mg1 0.5000 0.5000 0.5000 1
Ho2 0.0000 0.0000 0.2015 1
```

No. 9
Here is a geometry-optimized La3Sm6Sc structure from Alexandria. Energies are from PBE.

Values from the calculation:
VASP energy ... -95.31 eV/cell
Energy of formation from the pure elements ... 0.18 eV/atom
Magnetic moment ... 0.00 μB/cell
DOS at the Fermi energy ... 1.53 states/eV/atom

Structure (CIF):
```
data_La3Sm6Sc
_chemical_formula_sum 'La6 Sm12 Sc2'
_cell_length_a 6.3389
_cell_length_b 10.4948
_cell_length_c 10.4948
_cell_angle_alpha 99.48
_cell_angle_beta 90.00
_cell_angle_gamma 90.00
_symmetry_space_group_name_H-M 'P 1'
_symmetry_Int_Tables_number 1
_symmetry_space_group_name_Hall 'P 1'
loop_
_atom_site_label
_atom_site_fract_x
_atom_site_fract_y
_atom_site_fract_z
_atom_site_occupancy
Sm1 0.9074 0.9861 0.5782 1
Sm2 0.4074 0.0139 0.4218 1
La1 0.0912 0.3569 0.6431 1
Sm3 0.4074 0.5782 0.9861 1
Sm4 0.0806 0.6748 0.5596 1
La2 0.4433 0.8712 0.7213 1
La3 0.5912 0.6431 0.3569 1
Sm5 0.2473 0.9416 0.0584 1
Sm6 0.0806 0.4404 0.3252 1
Sm7 0.5806 0.3252 0.4404 1
Sm8 0.5806 0.5596 0.6748 1
La4 0.9433 0.7213 0.8712 1
Sm9 0.7473 0.0584 0.9416 1
Sc1 0.6821 0.8514 0.1486 1
Sm10 0.6023 0.2553 0.7447 1
La5 0.9433 0.1288 0.2787 1
Sm11 0.1023 0.7447 0.2553 1
La6 0.4433 0.2787 0.1288 1
Sc2 0.1821 0.1486 0.8514 1
Sm12 0.9074 0.4218 0.0139 1
```

No. 10
Here is a geometry-optimized RuAu2Cl2 structure from Alexandria. Energies are from PBE.

Values from the calculation:
VASP energy ... -31.36 eV/cell
Formation energy from raw total energies ... 74 kJ per mole of atoms
Magnetic moment ... 5.41 μB/cell
DOS at the Fermi energy ... 0.73 states/eV/atom

Structure (CIF):
```
data_RuAu2Cl2
_chemical_formula_sum 'Ru2 Au4 Cl4'
_cell_length_a 7.0237
_cell_length_b 7.0237
_cell_length_c 4.2968
_cell_angle_alpha 90.00
_cell_angle_beta 90.00
_cell_angle_gamma 90.00
_symmetry_space_group_name_H-M 'P 1'
_symmetry_Int_Tables_number 1
_symmetry_space_group_name_Hall 'P 1'
loop_
_atom_site_label
_atom_site_fract_x
_atom_site_fract_y
_atom_site_fract_z
_atom_site_occupancy
Ru1 0.0000 0.0000 0.0000 1
Ru2 0.5000 0.5000 0.0000 1
Au1 0.6363 0.1363 0.0000 1
Cl1 0.8078 0.3078 0.5000 1
Cl2 0.6922 0.8078 0.5000 1
Cl3 0.3078 0.1922 0.5000 1
Cl4 0.1922 0.6922 0.5000 1
Au2 0.3637 0.8637 0.0000 1
Au3 0.1363 0.3637 0.0000 1
Au4 0.8637 0.6363 0.0000 1
```

No. 11
Here is a geometry-optimized Na4Pm3InO8 structure from Alexandria. Energies are from PBE.

Values from the calculation:
VASP energy ... -99.72 eV/cell
Formation energy from raw total energies ... -228 kJ per mole of atoms
Magnetic moment ... 0.00 μB/cell
DOS at the Fermi energy ... 0.00 states/eV/atom

Structure (CIF):
```
data_Na4Pm3InO8
_chemical_formula_sum 'Na4 Pm3 In1 O8'
_cell_length_a 6.9729
_cell_length_b 6.9240
_cell_length_c 6.9740
_cell_angle_alpha 120.21
_cell_angle_beta 120.00
_cell_angle_gamma 90.00
_symmetry_space_group_name_H-M 'P 1'
_symmetry_Int_Tables_number 1
_symmetry_space_group_name_Hall 'P 1'
loop_
_atom_site_label
_atom_site_fract_x
_atom_site_fract_y
_atom_site_fract_z
_atom_site_occupancy
Pm1 0.5000 0.5000 0.0000 1
O1 0.7491 0.7177 0.9833 1
O2 0.2509 0.2823 0.0167 1
O3 0.2619 0.2855 0.5238 1
O4 0.2342 0.7177 0.9833 1
O5 0.7658 0.2823 0.0167 1
Na1 0.5000 0.0000 0.0000 1
Pm2 0.0000 0.5000 0.5000 1
O6 0.2342 0.7177 0.4683 1
Na2 0.5000 0.0000 0.5000 1
Pm3 0.5000 0.5000 0.5000 1
In1 0.0000 0.5000 0.0000 1
O7 0.7658 0.2823 0.5317 1
Na3 0.0000 0.0000 0.0000 1
O8 0.7381 0.7145 0.4762 1
Na4 0.0000 0.0000 0.5000 1
```